[1]
First-principles (PBE-GGA) data for a geometry-optimized LaCeNdY structure, as listed in Alexandria via LeMat-Bulk.

Cell lengths 5.8005, 5.8005, 5.8005 Å; angles 60.00, 60.00, 60.00 degrees
Each line ends with the local moment (μB).
Element x y z (fractional)
Y 0.2500 0.2500 0.2500  0.28
Nd 0.5000 0.5000 0.5000  0.29
Ce 0.7500 0.7500 0.7500  1.12
La 0.0000 0.0000 0.0000  0.29

- E_tot (eV per formula unit) = -21.32
- energy relative to the elements (eV/atom) = 0.19
- symmetry = F-43m (216)
- magnetic moment (μB per atom) = 0.81

***

[2]
First-principles (PBE-GGA) data for a geometry-optimized Al2Cr2Au structure, as listed in Alexandria via LeMat-Bulk.

Cell lengths 7.0663, 7.0663, 3.0854 Å; angles 90.00, 90.00, 90.00 degrees
Each line ends with the local moment (μB).
Element x y z (fractional)
Cr 0.1571 0.6571 0.5000  2.80
Cr 0.6571 0.8429 0.5000  2.80
Cr 0.8429 0.3429 0.5000  2.80
Cr 0.3429 0.1571 0.5000  2.80
Au 0.0000 0.0000 0.0000  0.04
Au 0.5000 0.5000 0.0000  0.04
Al 0.3616 0.8616 0.0000  -0.04
Al 0.8616 0.6384 0.0000  -0.04
Al 0.6384 0.1384 0.0000  -0.04
Al 0.1384 0.3616 0.0000  -0.04

- E_tot (eV per formula unit) = -29.64
- energy relative to the elements (eV/atom) = 0.07
- symmetry = P4/mbm (127)
- magnetic moment (μB per atom) = 1.18

***

[3]
First-principles (PBE-GGA) data for a geometry-optimized SrY2Ti2 structure, as listed in Alexandria via LeMat-Bulk.

Cell lengths 9.0900, 9.0900, 3.4355 Å; angles 90.00, 90.00, 90.00 degrees
Each line ends with the local moment (μB).
Element x y z (fractional)
Y 0.1800 0.6800 0.5000  0.06
Y 0.6800 0.8200 0.5000  0.05
Y 0.8200 0.3200 0.5000  0.06
Y 0.3200 0.1800 0.5000  0.05
Sr 0.0000 0.0000 0.0000  0.00
Sr 0.5000 0.5000 0.0000  0.00
Ti 0.3967 0.8967 0.0000  0.27
Ti 0.8967 0.6033 0.0000  0.27
Ti 0.6033 0.1033 0.0000  0.27
Ti 0.1033 0.3967 0.0000  0.27

- E_tot (eV per formula unit) = -28.73
- energy relative to the elements (eV/atom) = 0.33
- symmetry = P4/mbm (127)
- magnetic moment (μB per atom) = 0.18

***

[4]
First-principles (PBE-GGA) data for a geometry-optimized SmY2HgN structure, as listed in Alexandria via LeMat-Bulk.

Cell lengths 4.9415, 4.8161, 4.8161 Å; angles 90.00, 90.00, 90.00 degrees
Element x y z (fractional)
Sm 0.5000 0.0000 0.0000
Y 0.0000 0.0000 0.5000
Y 0.0000 0.5000 0.0000
Hg 0.5000 0.5000 0.5000
N 0.0000 0.0000 0.0000

- energy relative to the elements, uncorrected (meV/atom) = -896
- E_tot (eV per formula unit) = -30.75
- symmetry = P4/mmm (123)
- magnetic moment (μB per atom) = 0.00

***

Q: E_tot of number 3 (SrY2Ti2)?
A: -28.73 eV per formula unit

***

Q: Number 2 is which compound?
A: Al2Cr2Au

***

Q: The lowest E_tot belongs to which entry?
A: SmY2HgN

***

Please write out number 3 again, unchanged.
First-principles (PBE-GGA) data for a geometry-optimized SrY2Ti2 structure, as listed in Alexandria via LeMat-Bulk.

Cell lengths 9.0900, 9.0900, 3.4355 Å; angles 90.00, 90.00, 90.00 degrees
Each line ends with the local moment (μB).
Element x y z (fractional)
Y 0.1800 0.6800 0.5000  0.06
Y 0.6800 0.8200 0.5000  0.05
Y 0.8200 0.3200 0.5000  0.06
Y 0.3200 0.1800 0.5000  0.05
Sr 0.0000 0.0000 0.0000  0.00
Sr 0.5000 0.5000 0.0000  0.00
Ti 0.3967 0.8967 0.0000  0.27
Ti 0.8967 0.6033 0.0000  0.27
Ti 0.6033 0.1033 0.0000  0.27
Ti 0.1033 0.3967 0.0000  0.27

- E_tot (eV per formula unit) = -28.73
- energy relative to the elements (eV/atom) = 0.33
- symmetry = P4/mbm (127)
- magnetic moment (μB per atom) = 0.18